Entry 1:
! Ca2AcHg3 | Alexandria | PBE | relaxed; values from VASP
&SYSTEM
  ibrav = 0, nat = 6, ntyp = 3
/
ATOMIC_SPECIES
Ca 40.08 Ca.upf
Ac 227.00 Ac.upf
Hg 200.59 Hg.upf
CELL_PARAMETERS angstrom
3.913 0.000 0.000
0.000 3.913 0.000
0.000 0.000 11.496
ATOMIC_POSITIONS angstrom
Ca 1.956 1.956 9.663
Ca 1.956 1.956 1.834
Ac 1.956 1.956 5.748
Hg 0.000 0.000 0.000
Hg 0.000 0.000 7.849
Hg 0.000 0.000 3.647
! * E_form: -0.523 eV per atom
! * energy relative to the lowest polymorph listed for this composition: 0.006 eV/atom
! * crystal system: tetragonal

Entry 2:
! CaAcHg5 | Alexandria | PBE | relaxed; values from VASP
&SYSTEM
  ibrav = 0, nat = 7, ntyp = 3
/
ATOMIC_SPECIES
Ca 40.08 Ca.upf
Ac 227.00 Ac.upf
Hg 200.59 Hg.upf
CELL_PARAMETERS angstrom
-2.626 2.566 -2.901
-0.120 -3.554 -3.041
-7.813 -3.295 4.159
ATOMIC_POSITIONS angstrom
Ca -5.279 -2.142 -0.892
Ac 0.000 0.000 0.000
Hg -3.424 -3.111 -3.432
Hg -4.678 -0.051 -3.362
Hg -3.907 -1.647 2.079
Hg -5.881 -4.232 1.578
Hg -7.134 -1.172 1.648
! * E_form: -0.331 eV per atom
! * crystal system: tetragonal

Entry 3:
! Ca2AcHg | Alexandria | PBE | relaxed; values from VASP
&SYSTEM
  ibrav = 0, nat = 4, ntyp = 3
/
ATOMIC_SPECIES
Ca 40.08 Ca.upf
Ac 227.00 Ac.upf
Hg 200.59 Hg.upf
CELL_PARAMETERS angstrom
3.973 0.000 0.000
1.986 3.440 0.000
1.986 1.147 10.936
ATOMIC_POSITIONS angstrom
Ca 1.986 1.147 8.738
Ca 1.986 1.147 2.207
Ac 3.973 2.294 5.443
Hg 3.973 2.294 0.016
! * E_form: -0.194 eV per atom
! * energy relative to the lowest polymorph listed for this composition: 0.059 eV/atom
! * crystal system: trigonal

Entry 4:
! Ca4Ac5Hg4 | Alexandria | PBE | relaxed; values from VASP
&SYSTEM
  ibrav = 0, nat = 13, ntyp = 3
/
ATOMIC_SPECIES
Ca 40.08 Ca.upf
Ac 227.00 Ac.upf
Hg 200.59 Hg.upf
CELL_PARAMETERS angstrom
-3.811 -2.407 -2.983
4.376 -7.153 -4.715
-3.753 -6.943 5.500
ATOMIC_POSITIONS angstrom
Ca -3.869 -10.663 -1.143
Ca -2.905 -7.027 -0.412
Ca 0.681 -5.840 -1.055
Ca -0.283 -9.476 -1.786
Ac -1.148 -13.106 -2.648
Ac -2.040 -3.396 0.449
Ac 0.000 0.000 0.000
Ac 0.396 -6.914 -4.721
Ac -3.584 -9.589 2.522
Hg -2.023 -5.305 -2.929
Hg -1.165 -11.198 0.731
Hg -1.058 -10.508 -4.859
Hg -2.130 -5.994 2.660
! * E_form: -0.311 eV per atom
! * crystal system: tetragonal

Entry 5:
! CaAc5Hg4 | Alexandria | PBE | relaxed; values from VASP
&SYSTEM
  ibrav = 0, nat = 10, ntyp = 3
/
ATOMIC_SPECIES
Ca 40.08 Ca.upf
Ac 227.00 Ac.upf
Hg 200.59 Hg.upf
CELL_PARAMETERS angstrom
-2.484 0.006 -3.230
-0.995 -3.877 0.758
-15.971 6.504 12.295
ATOMIC_POSITIONS angstrom
Ca 0.000 0.000 0.000
Ac -3.718 -1.130 0.287
Ac -6.697 0.083 2.581
Ac -9.725 1.316 4.912
Ac -12.752 2.549 7.242
Ac -15.732 3.763 9.536
Hg -3.396 1.383 2.614
Hg -6.468 2.634 4.979
Hg -9.502 3.870 7.315
Hg -12.575 5.121 9.681
! * E_form: -0.363 eV per atom
! * crystal system: tetragonal

Entry 6:
! Ca2AcHg | Alexandria | PBE | relaxed; values from VASP
&SYSTEM
  ibrav = 0, nat = 4, ntyp = 3
/
ATOMIC_SPECIES
Ac 227.00 Ac.upf
Ca 40.08 Ca.upf
Hg 200.59 Hg.upf
CELL_PARAMETERS angstrom
3.808 0.000 0.000
0.000 3.808 0.000
0.000 0.000 9.833
ATOMIC_POSITIONS angstrom
Ac 1.904 1.904 4.917
Ca 0.000 0.000 7.951
Ca 0.000 0.000 1.882
Hg 1.904 1.904 0.000
! * E_form: -0.236 eV per atom
! * energy relative to the lowest polymorph listed for this composition: 0.017 eV/atom
! * crystal system: tetragonal

- Look up the E_form of the sixth one.
  -0.236 eV per atom